# Sr2Pt

An optimized crystal structure of Sr2Pt (GGA-PBE, Alexandria via LeMat-Bulk).

Unit cell a=5.2408 b=5.2408 c=3.4661 alpha=90.00 beta=90.00 gamma=120.00
Closest atoms and distances in Å follow each position.
Sites, in units of the cell vectors:
1 Sr 0.6667 0.3333 0.5000  3 Sr 3.03
2 Sr 0.3333 0.6667 0.5000  3 Sr 3.03
3 Pt 0.0000 0.0000 0.0000  2 Pt 3.47, 12 Sr 3.49

Values from the calculation:
Space-group type: P6/mmm (191)
E_form (eV/atom): 0.0132
Total magnetization (Bohr magnetons per cell): 0.00
E (eV/atom): -3.122
Mass density (g cm⁻³): 7.5


# CdIrNF2

An optimized crystal structure of CdIrNF2 (GGA-PBE, Alexandria via LeMat-Bulk).

Unit cell a=4.1073 b=4.1073 c=4.6902 alpha=90.00 beta=90.00 gamma=90.00
Closest atoms and distances in Å follow each position.
Sites, in units of the cell vectors:
1 F 0.5000 0.0000 0.0000  2 Cd 2.05
2 F 0.0000 0.5000 0.0000  2 Cd 2.05
3 N 0.0000 0.0000 0.5000  2 Cd 2.35
4 Ir 0.5000 0.5000 0.5000  4 N 2.90, 8 F 3.12
5 Cd 0.0000 0.0000 0.0000  4 F 2.05

Values from the calculation:
Space-group type: P4/mmm (123)
Energy relative to the elements, uncorrected (eV/atom): 0.7846
Total magnetization (Bohr magnetons per cell): 2.43
E (eV/atom): -3.584
E above lowest polymorph (meV per atom): 1111
Mass density (g cm⁻³): 7.5


# TbPm6Tm2Sc3

An optimized crystal structure of TbPm6Tm2Sc3 (GGA-PBE, Alexandria via LeMat-Bulk).

Unit cell a=6.1291 b=6.1291 c=11.4784 alpha=95.11 beta=95.11 gamma=120.00
Closest atoms and distances in Å follow each position.
Sites, in units of the cell vectors:
1 Pm 0.5804 0.9140 0.7420  3 Sc 3.41, 6 Pm 3.54, 2 Tm 3.56, 1 Tb 3.56
2 Pm 0.4196 0.0860 0.2580  3 Sc 3.41, 6 Pm 3.54, 2 Tm 3.56, 1 Tb 3.56
3 Pm 0.9140 0.5804 0.7420  3 Sc 3.41, 6 Pm 3.54, 2 Tm 3.56, 1 Tb 3.56
4 Pm 0.0860 0.4196 0.2580  3 Sc 3.41, 6 Pm 3.54, 2 Tm 3.56, 1 Tb 3.56
5 Pm 0.2476 0.2476 0.7420  3 Sc 3.41, 6 Pm 3.54, 2 Tm 3.56, 1 Tb 3.56
6 Pm 0.7524 0.7524 0.2580  3 Sc 3.41, 6 Pm 3.54, 2 Tm 3.56, 1 Tb 3.56
7 Sc 0.1667 0.8333 0.5000  6 Pm 3.41, 6 Sc 3.54
8 Sc 0.5000 0.5000 0.5000  6 Pm 3.41, 6 Sc 3.54
9 Sc 0.8333 0.1667 0.5000  6 Pm 3.41, 6 Sc 3.54
10 Tb 0.0000 0.0000 0.0000  6 Tm 3.54, 6 Pm 3.56
11 Tm 0.3333 0.6667 0.0000  3 Tb 3.54, 3 Tm 3.54, 6 Pm 3.56
12 Tm 0.6667 0.3333 0.0000  3 Tb 3.54, 3 Tm 3.54, 6 Pm 3.56

Values from the calculation:
Space-group type: C2/m (12)
E_form (eV/atom): 0.0440
Total magnetization (Bohr magnetons per cell): 0.00
E (eV/atom): -5.045
Mass density (g cm⁻³): 6.8


Look up the mass density of the second one.
7.5 g cm⁻³